La8ZnSi3I4, relaxed, DFT PBE; volume = 33.1 A^3/atom; E_form (uncorrected) = -1415 kJ/mol of formula units; space group = No. 12
1.0
-3.104 -5.213 6.498
1.054 -7.441 -5.466
7.039 5.229 1.476
La Zn Si I
8 1 3 4
Cartesian
6.824 -1.453 -0.885 La
3.361 -4.014 -1.615 La
3.232 -0.824 0.883 La
5.303 -4.007 2.299 La
-0.314 -3.419 0.209 La
1.757 -6.601 1.625 La
1.628 -3.411 4.123 La
-1.835 -5.972 3.393 La
0.527 -3.721 -2.733 Zn
-1.025 -6.327 0.516 Si
2.495 -3.713 1.254 Si
4.047 -1.106 -1.995 Si
-1.552 -2.606 3.249 I
1.967 0.008 3.987 I
0.000 0.000 0.000 I
3.519 2.614 0.738 I